# 1
VASP calculation (PBE) on a relaxed structure of K2TlCuF4.

Geometry as POSCAR:
```
K2TlCuF4
1.0
-2.3469 1.8054 -2.4455
4.9830 -2.0891 -3.3092
-6.3722 -11.4712 -2.3534
K Tl Cu F
4 2 2 8
direct
0.3675 0.7350 0.5451 K
0.6325 0.2650 0.0451 K
0.6325 0.2650 0.4549 K
0.3675 0.7350 0.9549 K
0.1223 0.2445 0.7500 Tl
0.8777 0.7555 0.2500 Tl
0.8656 0.7312 0.7500 Cu
0.1344 0.2688 0.2500 Cu
0.2655 0.5311 0.1319 F
0.7345 0.4689 0.6319 F
0.7345 0.4689 0.8681 F
0.2655 0.5311 0.3681 F
0.0000 0.0000 0.5000 F
0.0000 0.0000 0.0000 F
0.4040 0.8080 0.7500 F
0.5960 0.1920 0.2500 F
```

Output
magnetization: 0.05 μB per formula unit
uncorrected formation energy: -2009 meV per atom
mass density: 4.53 g cm⁻³
space group: Cmcm
E: -64.425 eV per cell


# 2
VASP calculation (PBE) on a relaxed structure of KTlCu2F8.

Geometry as POSCAR:
```
KTlCu2F8
1.0
-0.2876 -0.3325 -5.6530
-4.2280 -3.7528 0.4358
-1.2828 6.0253 2.5545
K Tl Cu F
1 1 2 8
direct
0.7500 0.2500 0.5000 K
0.0000 0.0000 0.0000 Tl
0.5000 0.5000 0.0000 Cu
0.2500 0.7500 0.5000 Cu
0.7266 0.8189 0.0961 F
0.3695 0.2772 0.0961 F
0.6106 0.7074 0.6279 F
0.0173 0.9204 0.6279 F
0.0796 0.3894 0.3721 F
0.2926 0.9827 0.3721 F
0.1811 0.6305 0.9039 F
0.7228 0.2734 0.9039 F
```

Output
magnetization: 0.01 μB per formula unit
uncorrected formation energy: -1782 meV per atom
mass density: 5.06 g cm⁻³
space group: I-4
DOS(E_F): 5.0 states/eV/cell
E: -48.009 eV per cell


# 3
VASP calculation (PBE) on a relaxed structure of K2Tl3CuF12.

Geometry as POSCAR:
```
K2Tl3CuF12
1.0
7.9374 -0.1052 -0.0746
3.8284 6.9539 -0.0746
3.8284 2.2284 6.5876
K Tl Cu F
2 3 1 12
direct
0.6748 0.6748 0.6748 K
0.3252 0.3252 0.3252 K
0.5000 0.0000 0.0000 Tl
0.0000 0.5000 0.0000 Tl
0.0000 0.0000 0.5000 Tl
0.0000 0.0000 0.0000 Cu
0.3355 0.3355 0.9564 F
0.9371 0.9371 0.3006 F
0.3006 0.9371 0.9371 F
0.9564 0.3355 0.3355 F
0.9371 0.3006 0.9371 F
0.3355 0.9564 0.3355 F
0.6645 0.6645 0.0436 F
0.0629 0.0629 0.6994 F
0.6994 0.0629 0.0629 F
0.0436 0.6645 0.6645 F
0.0629 0.6994 0.0629 F
0.6645 0.0436 0.6645 F
```

Output
magnetization: 0.39 μB per formula unit
uncorrected formation energy: -1973 meV per atom
mass density: 4.42 g cm⁻³
space group: R-3m
DOS(E_F): 6.4 states/eV/cell
E: -71.351 eV per cell


# 4
VASP calculation (PBE) on a relaxed structure of K3TlCu2F9.

Geometry as POSCAR:
```
K3TlCu2F9
1.0
-1.6913 -4.5514 -3.4923
1.3606 -0.9809 5.7410
-7.1946 1.2070 1.9114
K Tl Cu F
3 1 2 9
direct
0.3333 0.6667 0.6995 K
0.0000 0.0000 0.0000 K
0.6667 0.3333 0.3005 K
0.0000 0.0000 0.5000 Tl
0.3333 0.6667 0.1519 Cu
0.6667 0.3333 0.8481 Cu
0.8257 0.1743 0.6868 F
0.8257 0.6514 0.6868 F
0.3486 0.1743 0.6868 F
0.6514 0.8257 0.3132 F
0.1743 0.3486 0.3132 F
0.1743 0.8257 0.3132 F
0.5000 0.0000 0.0000 F
0.0000 0.5000 0.0000 F
0.5000 0.5000 0.0000 F
```

Output
magnetization: 1.13 μB per formula unit
uncorrected formation energy: -2123 meV per atom
mass density: 4.40 g cm⁻³
space group: P-3m1
DOS(E_F): 2.3 states/eV/cell
E: -62.544 eV per cell


# 5
VASP calculation (PBE) on a relaxed structure of K2TlCuF6.

Geometry as POSCAR:
```
K2TlCuF6
1.0
6.1805 0.0000 0.0000
3.0903 5.3525 0.0000
3.0903 1.7842 5.0464
K Tl Cu F
2 1 1 6
direct
0.2500 0.2500 0.2500 K
0.7500 0.7500 0.7500 K
0.0000 0.0000 0.0000 Tl
0.5000 0.5000 0.5000 Cu
0.2658 0.2658 0.7342 F
0.2658 0.7342 0.7342 F
0.7342 0.7342 0.2658 F
0.2658 0.7342 0.2658 F
0.7342 0.2658 0.7342 F
0.7342 0.2658 0.2658 F
```

Output
magnetization: 0.27 μB per formula unit
polymorph energy (0 for the lowest one): 0.006 eV per atom
uncorrected formation energy: -2132 meV per atom
mass density: 4.58 g cm⁻³
space group: Fm-3m
DOS(E_F): 3.7 states/eV/cell
E: -41.201 eV per cell


# 6
VASP calculation (PBE) on a relaxed structure of KTlCuF2.

Geometry as POSCAR:
```
KTlCuF2
1.0
4.7585 0.0000 0.0000
0.0000 5.1806 0.0000
0.0000 0.0000 4.7585
Tl K Cu F
1 1 1 2
direct
0.5000 0.5000 0.5000 Tl
0.0000 0.0000 0.0000 K
0.0000 0.5000 0.0000 Cu
0.0000 0.0000 0.5000 F
0.5000 0.0000 0.0000 F
```

Output
magnetization: 0.00 μB per formula unit
uncorrected formation energy: -812 meV per atom
mass density: 4.88 g cm⁻³
space group: P4/mmm
DOS(E_F): 1.7 states/eV/cell
E: -15.365 eV per cell